Computed, not measured: crystalline BaMgWF7 at its relaxed geometry at the GGA+U level of DFT.

a b c (Å): 5.748 10.332 9.959
angles (deg): 90.00 92.38 90.00
Fractional coordinates of all 40 atoms:
Ba 0.233 0.169 0.005
Ba 0.233 0.331 0.505
Ba 0.767 0.669 0.495
Ba 0.767 0.831 0.995
Mg 0.185 0.610 0.808
Mg 0.185 0.890 0.308
Mg 0.815 0.110 0.692
Mg 0.815 0.390 0.192
W 0.305 0.610 0.183
W 0.305 0.890 0.683
W 0.695 0.110 0.317
W 0.695 0.390 0.817
F 0.012 0.718 0.247
F 0.012 0.782 0.747
F 0.097 0.540 0.633
F 0.097 0.960 0.133
F 0.128 0.063 0.625
F 0.128 0.437 0.125
F 0.236 0.696 0.990
F 0.236 0.804 0.490
F 0.369 0.040 0.374
F 0.369 0.460 0.874
F 0.397 0.542 0.376
F 0.397 0.958 0.876
F 0.467 0.714 0.744
F 0.467 0.786 0.244
F 0.533 0.214 0.756
F 0.533 0.286 0.256
F 0.603 0.042 0.124
F 0.603 0.458 0.624
F 0.631 0.540 0.126
F 0.631 0.960 0.626
F 0.764 0.196 0.510
F 0.764 0.304 0.010
F 0.872 0.563 0.875
F 0.872 0.937 0.375
F 0.903 0.040 0.867
F 0.903 0.460 0.367
F 0.988 0.218 0.253
F 0.988 0.282 0.753

Symmetry ... P2_1/c (14)
Calculated density ... 5.4 g/cm3
Final energy ... -225.79 eV/cell